DFT (PBE) results for a geometry-optimized InNiW4C2 structure.

## Properties
Total DFT energy (no corrections) (eV per atom): -9.604
Density (g/cm3): 14.05
Space-group type: P-6m2

abc: 3.0937 3.0937 13.3029
angles: 90.00 90.00 120.00
Last column: nearest neighbours and their distance in Å.
Positions (direct):
C 0.3333 0.6667 0.2670  6 W 2.12-2.13
C 0.3333 0.6667 0.7330  6 W 2.12-2.13
In 0.0000 0.0000 0.0000  6 W 3.01, 6 In 3.09
Ni 0.6667 0.3333 0.5000  6 W 2.63
W 0.6667 0.3333 0.1818  3 C 2.12
W 0.0000 0.0000 0.3546  3 C 2.13
W 0.0000 0.0000 0.6454  3 C 2.13
W 0.6667 0.3333 0.8182  3 C 2.12

***

DFT (PBE) results for a geometry-optimized Zr4InNiC2 structure.

## Properties
Total DFT energy (no corrections) (eV per atom): -8.194
Density (g/cm3): 6.87
Space-group type: P-6m2

abc: 3.3431 3.3431 14.0396
angles: 90.00 90.00 120.00
Last column: nearest neighbours and their distance in Å.
Positions (direct):
C 0.3333 0.6667 0.2675  6 Zr 2.28-2.36
C 0.3333 0.6667 0.7325  6 Zr 2.28-2.36
In 0.0000 0.0000 0.0000  6 Zr 3.19, 6 In 3.34
Ni 0.6667 0.3333 0.5000  6 Zr 2.71
Zr 0.6667 0.3333 0.1805  3 C 2.28
Zr 0.0000 0.0000 0.3645  3 C 2.36
Zr 0.0000 0.0000 0.6355  3 C 2.36
Zr 0.6667 0.3333 0.8195  3 C 2.28

***

DFT (PBE) results for a geometry-optimized InPW4C2 structure.

## Properties
Total DFT energy (no corrections) (eV per atom): -9.679
Density (g/cm3): 13.43
Space-group type: P-6m2

abc: 3.1984 3.1984 12.6327
angles: 90.00 90.00 120.00
Last column: nearest neighbours and their distance in Å.
Positions (direct):
C 0.6667 0.3333 0.2320  6 W 2.10-2.21
C 0.6667 0.3333 0.7680  6 W 2.10-2.21
In 0.0000 0.0000 0.5000  6 W 3.02, 6 In 3.20
P 0.3333 0.6667 0.0000  6 W 2.52
W 0.0000 0.0000 0.1359  3 C 2.21
W 0.3333 0.6667 0.3107  3 C 2.10
W 0.3333 0.6667 0.6893  3 C 2.10
W 0.0000 0.0000 0.8641  3 C 2.21

***

DFT (PBE) results for a geometry-optimized InPW4C2 structure.

## Properties
Total DFT energy (no corrections) (eV per atom): -9.679
Density (g/cm3): 13.43
Space-group type: P-6m2

abc: 3.1984 3.1984 12.6327
angles: 90.00 90.00 120.00
Last column: nearest neighbours and their distance in Å.
Positions (direct):
C 0.3333 0.6667 0.2680  6 W 2.10-2.21
C 0.3333 0.6667 0.7320  6 W 2.10-2.21
In 0.0000 0.0000 0.0000  6 W 3.02, 6 In 3.20
P 0.6667 0.3333 0.5000  6 W 2.52
W 0.6667 0.3333 0.1893  3 C 2.10
W 0.0000 0.0000 0.3641  3 C 2.21
W 0.0000 0.0000 0.6359  3 C 2.21
W 0.6667 0.3333 0.8107  3 C 2.10

***

DFT (PBE) results for a geometry-optimized Zr4In2PC structure.

## Properties
Total DFT energy (no corrections) (eV per atom): -7.542
Density (g/cm3): 6.59
Space-group type: P-3m1

abc: 3.4756 3.4756 15.3600
angles: 90.00 90.00 120.00
Last column: nearest neighbours and their distance in Å.
Positions (direct):
C 0.0000 0.0000 0.0000  6 Zr 2.35
In 0.6667 0.3333 0.2404  6 Zr 3.17-3.18, 6 In 3.48
In 0.3333 0.6667 0.7596  6 Zr 3.17-3.18, 6 In 3.48
P 0.0000 0.0000 0.5000  6 Zr 2.52
Zr 0.3333 0.6667 0.0795  3 C 2.35
Zr 0.3333 0.6667 0.4004  3 P 2.52
Zr 0.6667 0.3333 0.5996  3 P 2.52
Zr 0.6667 0.3333 0.9205  3 C 2.35

***

DFT (PBE) results for a geometry-optimized Pa3InC structure.

## Properties
Total DFT energy (no corrections) (eV per atom): -8.314
Density (g/cm3): 12.19
Space-group type: Pm-3m

abc: 4.8156 4.8156 4.8156
angles: 90.00 90.00 90.00
Last column: nearest neighbours and their distance in Å.
Positions (direct):
C 0.0000 0.0000 0.0000  6 Pa 2.41
In 0.5000 0.5000 0.5000  12 Pa 3.41
Pa 0.5000 0.0000 0.0000  2 C 2.41
Pa 0.0000 0.5000 0.0000  2 C 2.41
Pa 0.0000 0.0000 0.5000  2 C 2.41

***

DFT (PBE) results for a geometry-optimized Ta4InPbC2 structure.

## Properties
Total DFT energy (no corrections) (eV per atom): -9.295
Density (g/cm3): 13.75
Space-group type: P-6m2

abc: 3.2264 3.2264 14.3286
angles: 90.00 90.00 120.00
Last column: nearest neighbours and their distance in Å.
Positions (direct):
C 0.3333 0.6667 0.2510  6 Ta 2.20
C 0.3333 0.6667 0.7490  6 Ta 2.20
In 0.6667 0.3333 0.5000  6 Ta 3.03, 6 In 3.23
Pb 0.0000 0.0000 0.0000  6 Ta 3.06, 6 Pb 3.23
Ta 0.6667 0.3333 0.1698  3 C 2.20
Ta 0.0000 0.0000 0.3328  3 C 2.20
Ta 0.0000 0.0000 0.6672  3 C 2.20
Ta 0.6667 0.3333 0.8302  3 C 2.20

***

DFT (PBE) results for a geometry-optimized In8Pd2C structure.

## Properties
Total DFT energy (no corrections) (eV per atom): -3.465
Density (g/cm3): 7.85
Space-group type: P4/mmm

abc: 4.4032 4.4032 12.4754
angles: 90.00 90.00 90.00
Last column: nearest neighbours and their distance in Å.
Positions (direct):
C 0.0000 0.0000 0.0000  8 In 2.71
In 0.5000 0.0000 0.1267  2 C 2.71
In 0.0000 0.5000 0.1267  2 C 2.71
In 0.5000 0.5000 0.3108  4 Pd 3.17, 8 In 3.18-3.23
In 0.5000 0.0000 0.5000  4 Pd 2.83, 4 In 3.11
In 0.0000 0.5000 0.5000  4 Pd 2.83, 4 In 3.11
In 0.5000 0.5000 0.6892  4 Pd 3.17, 8 In 3.18-3.23
In 0.5000 0.0000 0.8733  2 C 2.71
In 0.0000 0.5000 0.8733  2 C 2.71
Pd 0.0000 0.0000 0.3577  4 In 2.83
Pd 0.0000 0.0000 0.6423  4 In 2.83

***

DFT (PBE) results for a geometry-optimized Pm4In2C3 structure.

## Properties
Total DFT energy (no corrections) (eV per atom): -5.603
Density (g/cm3): 6.71
Space-group type: Pm

abc: 6.7233 3.4454 9.0375
angles: 90.00 90.83 90.00
Last column: nearest neighbours and their distance in Å.
Positions (direct):
C 0.6037 0.0000 0.1562  2 Pm 2.39
C 0.1256 0.0000 0.2793  1 In 2.29, 4 Pm 2.42-2.47
C 0.4183 0.0000 0.6354  2 In 2.39, 2 Pm 2.40
In 0.1454 0.0000 0.0261  1 C 2.29
In 0.6643 0.5000 0.6204  2 C 2.39
Pm 0.8728 0.5000 0.2888  2 C 2.42
Pm 0.3830 0.5000 0.3217  4 C 2.47-2.73
Pm 0.1856 0.5000 0.6990  2 C 2.40
Pm 0.6013 0.5000 0.9731  2 C 2.39

***

DFT (PBE) results for a geometry-optimized Pr3InC structure.

## Properties
Total DFT energy (no corrections) (eV per atom): -5.545
Density (g/cm3): 6.60
Space-group type: Pm-3m

abc: 5.1716 5.1716 5.1716
angles: 90.00 90.00 90.00
Last column: nearest neighbours and their distance in Å.
Positions (direct):
C 0.0000 0.0000 0.0000  6 Pr 2.59
In 0.5000 0.5000 0.5000  12 Pr 3.66
Pr 0.5000 0.0000 0.0000  2 C 2.59
Pr 0.0000 0.5000 0.0000  2 C 2.59
Pr 0.0000 0.0000 0.5000  2 C 2.59

***

DFT (PBE) results for a geometry-optimized Tm4In2PtC structure.

## Properties
Total DFT energy (no corrections) (eV per atom): -5.397
Density (g/cm3): 9.69
Space-group type: P-3m1

abc: 3.6314 3.6314 16.6886
angles: 90.00 90.00 120.00
Last column: nearest neighbours and their distance in Å.
Positions (direct):
C 0.0000 0.0000 0.0000  6 Tm 2.47
In 0.3333 0.6667 0.2370  6 Tm 3.30-3.38, 6 In 3.63
In 0.6667 0.3333 0.7630  6 Tm 3.30-3.38, 6 In 3.63
Pt 0.0000 0.0000 0.5000  6 Tm 2.79
Tm 0.6667 0.3333 0.0778  3 C 2.47
Tm 0.6667 0.3333 0.3896  3 Pt 2.79
Tm 0.3333 0.6667 0.6104  3 Pt 2.79
Tm 0.3333 0.6667 0.9222  3 C 2.47

***

DFT (PBE) results for a geometry-optimized InW4C2S structure.

## Properties
Total DFT energy (no corrections) (eV per atom): -9.439
Density (g/cm3): 13.38
Space-group type: P-6m2

abc: 3.1562 3.1562 13.0370
angles: 90.00 90.00 120.00
Last column: nearest neighbours and their distance in Å.
Positions (direct):
C 0.3333 0.6667 0.2663  6 W 2.12-2.15
C 0.3333 0.6667 0.7337  6 W 2.12-2.15
In 0.0000 0.0000 0.0000  6 W 3.00, 6 In 3.16
S 0.6667 0.3333 0.5000  6 W 2.64
W 0.6667 0.3333 0.1830  3 C 2.12
W 0.0000 0.0000 0.3535  3 C 2.15
W 0.0000 0.0000 0.6465  3 C 2.15
W 0.6667 0.3333 0.8170  3 C 2.12